{"formula": "ScPtO2F", "functional": "GGA-PBEsol", "state": "optimized geometry", "spacegroup": "P4/mmm, No. 123", "e_form_raw_ev_per_atom": -1.35, "e_tot_ev_per_atom": -6.5477, "density_g_cm3": 7.59, "vol_a3_per_cell": 64, "m_tot_mub_per_cell": 0.0, "cell": [[4.083, 0.000, 0.000], [0.000, 4.083, 0.000], [0.000, 0.000, 3.821]], "species": ["Sc", "Pt", "O", "O", "F"], "fractional_positions": [[0.000, 0.000, 0.000], [0.500, 0.500, 0.500], [0.000, 0.500, 0.000], [0.500, 0.000, 0.000], [0.000, 0.000, 0.500]]}